Record 1
LaSmAlAg, optimized geometry, DFT PBE-GGA; E above lowest polymorph = 36 meV per atom
1.0
7.560 0.000 0.000
0.000 7.560 0.000
0.000 0.000 7.560
La Sm Al Ag
4 4 4 4
Direct
0.000 0.000 0.000
0.000 0.500 0.500
0.500 0.000 0.500
0.500 0.500 0.000
0.000 0.000 0.500
0.000 0.500 0.000
0.500 0.000 0.000
0.500 0.500 0.500
0.250 0.250 0.250
0.250 0.750 0.750
0.750 0.250 0.750
0.750 0.750 0.250
0.250 0.250 0.750
0.250 0.750 0.250
0.750 0.250 0.250
0.750 0.750 0.750

Record 2
# La2Al4Ag3Sn

La2Al4Ag3Sn after structural relaxation (PBE-GGA, Alexandria via LeMat-Bulk).

The structure in POSCAR format:
```
La2Al4Ag3Sn
1.0
4.461 0.000 0.000
0.000 4.461 0.000
0.000 0.000 11.124
La Al Ag Sn
2 4 3 1
Direct
0.000 0.500 0.245
0.500 0.000 0.755
0.000 0.000 0.000
0.000 0.500 0.648
0.500 0.000 0.352
0.500 0.500 0.000
0.000 0.500 0.874
0.500 0.000 0.126
0.500 0.500 0.500
0.000 0.000 0.500
```

Record 3
# La2TaAlAg

La2TaAlAg after structural relaxation (PBE-GGA, Alexandria via LeMat-Bulk).

The structure in POSCAR format:
```
La2TaAlAg
1.0
5.747 0.000 0.000
0.000 5.747 0.000
0.000 0.000 4.639
La Ta Al Ag
2 1 1 1
Direct
0.000 0.500 0.000
0.500 0.000 0.000
0.000 0.000 0.500
0.500 0.500 0.000
0.500 0.500 0.500
```

Record 4
# LaAlTlAg

LaAlTlAg after structural relaxation (PBE-GGA, Alexandria via LeMat-Bulk).

The structure in POSCAR format:
```
LaAlTlAg
1.0
7.325 0.000 0.000
0.000 7.325 0.000
0.000 0.000 7.325
La Al Tl Ag
4 4 4 4
Direct
0.000 0.000 0.000
0.000 0.500 0.500
0.500 0.000 0.500
0.500 0.500 0.000
0.000 0.000 0.500
0.000 0.500 0.000
0.500 0.000 0.000
0.500 0.500 0.500
0.250 0.250 0.250
0.250 0.750 0.750
0.750 0.250 0.750
0.750 0.750 0.250
0.250 0.250 0.750
0.250 0.750 0.250
0.750 0.250 0.250
0.750 0.750 0.750
```

Record 5
# La2Al4TlAg3

La2Al4TlAg3 after structural relaxation (PBE-GGA, Alexandria via LeMat-Bulk).

The structure in POSCAR format:
```
La2Al4TlAg3
1.0
4.507 0.000 0.000
0.000 4.507 0.000
0.000 0.000 10.969
La Al Tl Ag
2 4 1 3
Direct
0.000 0.500 0.243
0.500 0.000 0.757
0.000 0.000 0.000
0.000 0.500 0.646
0.500 0.000 0.354
0.500 0.500 0.000
0.000 0.000 0.500
0.000 0.500 0.877
0.500 0.000 0.123
0.500 0.500 0.500
```

Record 6
LaTmAlAg, optimized geometry, DFT PBE-GGA; E above lowest polymorph = 0 meV per atom
1.0
3.610 0.000 0.000
0.000 3.610 0.000
0.000 0.000 7.728
La Tm Al Ag
1 1 1 1
Direct
0.000 0.000 0.000
0.000 0.000 0.494
0.500 0.500 0.265
0.500 0.500 0.701

Record 7
LaTmAlAg, optimized geometry, DFT PBE-GGA; E above lowest polymorph = 51 meV per atom
1.0
7.446 0.000 0.000
0.000 7.446 0.000
0.000 0.000 7.446
La Tm Al Ag
4 4 4 4
Direct
0.000 0.000 0.000
0.000 0.500 0.500
0.500 0.000 0.500
0.500 0.500 0.000
0.000 0.000 0.500
0.000 0.500 0.000
0.500 0.000 0.000
0.500 0.500 0.500
0.250 0.250 0.250
0.250 0.750 0.750
0.750 0.250 0.750
0.750 0.750 0.250
0.250 0.250 0.750
0.250 0.750 0.250
0.750 0.250 0.250
0.750 0.750 0.750

Record 8
# LaY2AlAg

LaY2AlAg after structural relaxation (PBE-GGA, Alexandria via LeMat-Bulk).

The structure in POSCAR format:
```
LaY2AlAg
1.0
5.622 0.000 0.000
0.000 5.622 0.000
0.000 0.000 4.879
La Y Al Ag
1 2 1 1
Direct
0.000 0.000 0.000
0.000 0.500 0.500
0.500 0.000 0.500
0.500 0.500 0.500
0.500 0.500 0.000
```

Record 9
LaYAlAg, optimized geometry, DFT PBE-GGA; E above lowest polymorph = 38 meV per atom
1.0
7.500 0.000 0.000
0.000 7.500 0.000
0.000 0.000 7.500
La Y Al Ag
4 4 4 4
Direct
0.000 0.000 0.000
0.000 0.500 0.500
0.500 0.000 0.500
0.500 0.500 0.000
0.000 0.000 0.500
0.000 0.500 0.000
0.500 0.000 0.000
0.500 0.500 0.500
0.250 0.250 0.250
0.250 0.750 0.750
0.750 0.250 0.750
0.750 0.750 0.250
0.250 0.250 0.750
0.250 0.750 0.250
0.750 0.250 0.250
0.750 0.750 0.750

Record 10
LaYAlAg, optimized geometry, DFT PBE-GGA; E above lowest polymorph = 0 meV per atom
1.0
3.637 0.000 0.000
0.000 3.637 0.000
0.000 0.000 7.791
La Y Al Ag
1 1 1 1
Direct
0.000 0.000 0.000
0.000 0.000 0.493
0.500 0.500 0.261
0.500 0.500 0.711

Record 11
# LaAl2ZnAg4

LaAl2ZnAg4 after structural relaxation (PBE-GGA, Alexandria via LeMat-Bulk).

The structure in POSCAR format:
```
LaAl2ZnAg4
1.0
2.250 1.299 9.108
-2.250 1.299 9.108
0.000 -2.598 9.108
La Al Zn Ag
1 2 1 4
Direct
0.000 0.000 0.000
0.244 0.244 0.244
0.756 0.756 0.756
0.500 0.500 0.500
0.135 0.135 0.135
0.404 0.404 0.404
0.596 0.596 0.596
0.865 0.865 0.865
```

Record 12
# La2Al6ZnAg

La2Al6ZnAg after structural relaxation (PBE-GGA, Alexandria via LeMat-Bulk).

The structure in POSCAR format:
```
La2Al6ZnAg
1.0
3.221 1.860 12.246
-3.221 1.860 12.246
0.000 -3.719 12.246
La Al Zn Ag
4 12 2 2
Direct
0.139 0.139 0.139
0.311 0.311 0.311
0.689 0.689 0.689
0.861 0.861 0.861
0.056 0.648 0.648
0.196 0.196 0.778
0.196 0.778 0.196
0.222 0.804 0.804
0.352 0.352 0.944
0.352 0.944 0.352
0.648 0.056 0.648
0.648 0.648 0.056
0.778 0.196 0.196
0.804 0.222 0.804
0.804 0.804 0.222
0.944 0.352 0.352
0.420 0.420 0.420
0.580 0.580 0.580
0.000 0.000 0.000
0.500 0.500 0.500
```

Number 1: total moment 0.00 μB/f.u., calculated density 6.5 g/cm³, electronic total energy -4.349 eV per atom. Number 2: total moment 0.00 μB/f.u., calculated density 6.2 g/cm³, electronic total energy -4.139 eV per atom. Number 3: total moment 2.99 μB/f.u., calculated density 6.4 g/cm³, electronic total energy -4.782 eV per atom. Number 4: total moment 0.00 μB/f.u., calculated density 8.1 g/cm³, electronic total energy -3.676 eV per atom. Number 5: total moment 0.00 μB/f.u., calculated density 6.8 g/cm³, electronic total energy -3.910 eV per atom. Number 6: total moment 0.00 μB/f.u., calculated density 7.3 g/cm³, electronic total energy -4.350 eV per atom. Number 7: total moment 0.00 μB/f.u., calculated density 7.1 g/cm³, electronic total energy -4.299 eV per atom. Number 8: total moment 1.99 μB/f.u., calculated density 4.9 g/cm³, electronic total energy -4.653 eV per atom. Number 9: total moment 0.01 μB/f.u., calculated density 5.7 g/cm³, electronic total energy -4.810 eV per atom. Number 10: total moment 0.00 μB/f.u., calculated density 5.8 g/cm³, electronic total energy -4.848 eV per atom. Number 11: total moment 0.00 μB/f.u., calculated density 7.2 g/cm³, electronic total energy -3.314 eV per atom. Number 12: total moment 0.00 μB/f.u., calculated density 4.6 g/cm³, electronic total energy -3.798 eV per atom.